Record 1
ZnH3I: relaxed, PBEsol.

Unit cell a=4.1584 b=4.1584 c=4.1584 alpha=90.00 beta=90.00 gamma=90.00
Element x y z (fractional)
I (0.0000, 0.0000, 0.0000)
H (0.0000, 0.5000, 0.0000)
H (0.0000, 0.0000, 0.5000)
H (0.5000, 0.0000, 0.0000)
Zn (0.5000, 0.5000, 0.5000)

Properties
Magnetization ... 0.0 μB/cell
Theoretical density ... 4511 kg/m³
VASP energy ... -1.77 eV per atom
Symmetry ... Pm-3m

---

Record 2
In2HIrRu: relaxed, PBEsol.

Unit cell a=4.5891 b=5.0963 c=5.0963 alpha=90.00 beta=90.00 gamma=90.00
Site moments in Bohr magnetons follow the coordinates.
Element x y z (fractional)
Ru (0.0000, 0.0000, 0.0000)  0.02
Ir (0.5000, 0.0000, 0.0000)  0.26
H (0.5000, 0.5000, 0.5000)  0.26
In (0.0000, 0.0000, 0.5000)  0.01
In (0.0000, 0.5000, 0.0000)  0.01

Properties
Magnetization ... 1.0 μB/cell
Theoretical density ... 7299 kg/m³
VASP energy ... -4.67 eV per atom
Symmetry ... P4/mmm

---

Record 3
KInH2O: relaxed, PBEsol.

Unit cell a=3.9970 b=3.9970 c=4.2109 alpha=90.00 beta=90.00 gamma=90.00
Element x y z (fractional)
H (0.0000, 0.5000, 0.0000)
H (0.5000, 0.0000, 0.0000)
K (0.5000, 0.5000, 0.5000)
O (0.0000, 0.0000, 0.5000)
In (0.0000, 0.0000, 0.0000)

Properties
Magnetization ... 0.0 μB/cell
Theoretical density ... 4244 kg/m³
VASP energy ... -3.75 eV per atom
Symmetry ... P4/mmm

---

Record 4
K2In2P2HO10: relaxed, PBEsol.

Unit cell a=9.3256 b=9.4071 c=11.1550 alpha=90.00 beta=90.00 gamma=90.00
Site moments in Bohr magnetons follow the coordinates.
Element x y z (fractional)
K (0.9876, 0.9701, 0.4036)  0.00
K (0.5124, 0.0299, 0.9036)  0.00
K (0.4876, 0.5299, 0.5964)  0.00
K (0.0124, 0.4701, 0.0964)  0.00
K (0.2621, 0.6335, 0.3295)  0.00
K (0.2379, 0.3665, 0.8295)  0.00
K (0.7621, 0.8665, 0.6705)  0.00
K (0.7379, 0.1335, 0.1705)  0.00
In (0.8529, 0.6096, 0.3812)  -0.01
In (0.6471, 0.3904, 0.8812)  -0.01
In (0.3529, 0.8904, 0.6188)  -0.01
In (0.1471, 0.1096, 0.1188)  -0.01
In (0.6062, 0.6544, 0.1210)  -0.01
In (0.8938, 0.3456, 0.6210)  -0.01
In (0.1062, 0.8456, 0.8790)  -0.01
In (0.3938, 0.1544, 0.3790)  -0.01
P (0.0685, 0.6555, 0.6263)  0.00
P (0.4315, 0.3445, 0.1263)  0.00
P (0.5685, 0.8445, 0.3737)  0.00
P (0.9315, 0.1555, 0.8737)  0.00
P (0.9273, 0.8124, 0.1340)  0.00
P (0.5727, 0.1876, 0.6340)  0.00
P (0.4273, 0.6876, 0.8660)  0.00
P (0.0727, 0.3124, 0.3660)  0.00
H (0.6454, 0.4396, 0.2752)  0.00
H (0.8546, 0.5604, 0.7752)  0.00
H (0.1454, 0.0604, 0.7248)  0.00
H (0.3546, 0.9396, 0.2248)  0.00
O (0.9729, 0.7124, 0.5222)  0.04
O (0.5271, 0.2876, 0.0222)  0.04
O (0.4729, 0.7876, 0.4778)  0.04
O (0.0271, 0.2124, 0.9778)  0.04
O (0.5028, 0.7808, 0.2568)  0.01
O (0.9972, 0.2192, 0.7568)  0.01
O (0.0028, 0.7192, 0.7432)  0.01
O (0.4972, 0.2808, 0.2432)  0.01
O (0.4293, 0.5082, 0.1351)  0.02
O (0.0707, 0.4918, 0.6351)  0.02
O (0.9293, 0.9918, 0.8649)  0.02
O (0.5707, 0.0082, 0.3649)  0.02
O (0.7632, 0.8184, 0.1174)  0.04
O (0.7368, 0.1816, 0.6174)  0.04
O (0.2632, 0.6816, 0.8826)  0.04
O (0.2368, 0.3184, 0.3826)  0.04
O (0.7148, 0.5132, 0.2497)  0.12
O (0.7852, 0.4868, 0.7497)  0.12
O (0.2148, 0.9868, 0.7503)  0.12
O (0.2852, 0.0132, 0.2503)  0.12
O (0.7556, 0.4814, 0.5146)  0.61
O (0.7444, 0.5186, 0.0146)  0.61
O (0.2556, 0.0186, 0.4854)  0.61
O (0.2444, 0.9814, 0.9854)  0.61
O (0.5040, 0.7559, 0.9746)  0.04
O (0.9960, 0.2441, 0.4746)  0.04
O (0.0040, 0.7441, 0.0254)  0.04
O (0.4960, 0.2559, 0.5254)  0.04
O (0.9710, 0.7218, 0.2449)  0.03
O (0.5290, 0.2782, 0.7449)  0.03
O (0.4710, 0.7782, 0.7551)  0.03
O (0.0290, 0.2218, 0.2551)  0.03
O (0.0261, 0.4676, 0.3439)  0.02
O (0.4739, 0.5324, 0.8439)  0.02
O (0.5261, 0.0324, 0.6561)  0.02
O (0.9739, 0.9676, 0.1561)  0.02
O (0.7248, 0.7980, 0.3980)  0.03
O (0.7752, 0.2020, 0.8980)  0.03
O (0.2248, 0.7020, 0.6020)  0.03
O (0.2752, 0.2980, 0.1020)  0.03

Properties
Magnetization ... 4.6 μB/cell
Theoretical density ... 3603 kg/m³
VASP energy ... -6.33 eV per atom
Symmetry ... P2_12_12_1

---

Record 5
LiIn3H: relaxed, PBEsol.

Unit cell a=4.6237 b=4.6237 c=4.6237 alpha=90.00 beta=90.00 gamma=90.00
Element x y z (fractional)
H (0.0000, 0.0000, 0.0000)
Li (0.5000, 0.5000, 0.5000)
In (0.0000, 0.5000, 0.0000)
In (0.0000, 0.0000, 0.5000)
In (0.5000, 0.0000, 0.0000)

Properties
Magnetization ... 0.0 μB/cell
Theoretical density ... 5920 kg/m³
VASP energy ... -2.74 eV per atom
Symmetry ... Pm-3m

---

Record 6
LiIn2H2: relaxed, PBEsol.

Unit cell a=3.3310 b=3.3310 c=7.1991 alpha=103.38 beta=103.38 gamma=90.00
Element x y z (fractional)
H (0.2500, 0.7500, 0.5000)
H (0.7500, 0.2500, 0.5000)
Li (0.0000, 0.0000, 0.0000)
In (0.3570, 0.3570, 0.7141)
In (0.6430, 0.6430, 0.2859)

Properties
Magnetization ... 0.0 μB/cell
Theoretical density ... 5249 kg/m³
VASP energy ... -2.72 eV per atom
Symmetry ... I4/mmm

---

Record 7
Li2InH: relaxed, PBEsol.

Unit cell a=5.4426 b=5.4426 c=5.4426 alpha=90.42 beta=119.76 gamma=119.76
Element x y z (fractional)
H (0.5000, 0.2500, 0.7500)
H (0.0000, 0.5000, 0.5000)
In (0.5000, 0.7500, 0.2500)
In (0.0000, 0.0000, 0.0000)
Li (0.7849, 0.4099, 0.1250)
Li (0.2151, 0.3401, 0.6250)
Li (0.2849, 0.8750, 0.6599)
Li (0.7151, 0.3750, 0.5901)

Properties
Magnetization ... 0.0 μB/cell
Theoretical density ... 3765 kg/m³
VASP energy ... -2.82 eV per atom
Symmetry ... I-42d

---

Record 8
Li2InH2: relaxed, PBEsol.

Unit cell a=3.0597 b=6.7046 c=6.7046 alpha=90.00 beta=90.00 gamma=90.00
Element x y z (fractional)
H (0.0000, 0.3179, 0.8179)
H (0.0000, 0.8179, 0.6821)
H (0.0000, 0.6821, 0.1821)
H (0.0000, 0.1821, 0.3179)
Li (0.5000, 0.2007, 0.7007)
Li (0.5000, 0.7007, 0.7993)
Li (0.5000, 0.7993, 0.2993)
Li (0.5000, 0.2993, 0.2007)
In (0.0000, 0.0000, 0.0000)
In (0.0000, 0.5000, 0.5000)

Properties
Magnetization ... 0.0 μB/cell
Theoretical density ... 3156 kg/m³
VASP energy ... -2.68 eV per atom
Symmetry ... P4/mbm

---

Copy entry 1 word for word.
ZnH3I: relaxed, PBEsol.

Unit cell a=4.1584 b=4.1584 c=4.1584 alpha=90.00 beta=90.00 gamma=90.00
Element x y z (fractional)
I (0.0000, 0.0000, 0.0000)
H (0.0000, 0.5000, 0.0000)
H (0.0000, 0.0000, 0.5000)
H (0.5000, 0.0000, 0.0000)
Zn (0.5000, 0.5000, 0.5000)

Properties
Magnetization ... 0.0 μB/cell
Theoretical density ... 4511 kg/m³
VASP energy ... -1.77 eV per atom
Symmetry ... Pm-3m